A geometry-optimized Cu2AsPd2 structure. Source: Alexandria, functional PBE.

calculated formation energy: -0.1839 eV/atom
energy: -4.829 eV per atom

Cell: 5.1621 5.1621 6.8160 Å, 109.97 109.97 59.04°
Last column: nearest neighbours and their distance in Å.
Sites, in units of the cell vectors:
1 Cu 0.0182 0.7593 0.5429  2 As 2.46-2.66, 3 Cu 2.63-2.74, 5 Pd 2.65-2.72
2 Cu 0.2407 0.9818 0.9571  2 As 2.46-2.66, 3 Cu 2.63-2.74, 5 Pd 2.65-2.72
3 Cu 0.7593 0.0182 0.0429  2 As 2.46-2.66, 3 Cu 2.63-2.74, 5 Pd 2.65-2.72
4 Cu 0.9818 0.2407 0.4571  2 As 2.46-2.66, 3 Cu 2.63-2.74, 5 Pd 2.65-2.72
5 As 0.2727 0.7273 0.2500  4 Cu 2.46-2.66, 4 Pd 2.57
6 As 0.7273 0.2727 0.7500  4 Cu 2.46-2.66, 4 Pd 2.57
7 Pd 0.2220 0.4440 0.8569  2 As 2.57, 5 Cu 2.65-2.72
8 Pd 0.4440 0.2220 0.3569  2 As 2.57, 5 Cu 2.65-2.72
9 Pd 0.5560 0.7780 0.6431  2 As 2.57, 5 Cu 2.65-2.72
10 Pd 0.7780 0.5560 0.1431  2 As 2.57, 5 Cu 2.65-2.72

***

A geometry-optimized Ti2Zn2Ir3 structure. Source: Alexandria, functional PBE.

calculated formation energy: -0.5833 eV/atom
energy: -7.001 eV per atom

Cell: 4.3633 4.3633 7.2501 Å, 114.18 114.18 60.85°
Last column: nearest neighbours and their distance in Å.
Sites, in units of the cell vectors:
1 Ti 0.2385 0.2385 0.1580  7 Ir 2.57-2.73
2 Ti 0.7615 0.7615 0.8420  7 Ir 2.57-2.73
3 Zn 0.3194 0.3194 0.5918  2 Zn 2.53, 5 Ir 2.60-2.75
4 Zn 0.6806 0.6806 0.4082  2 Zn 2.53, 5 Ir 2.60-2.75
5 Ir 0.0512 0.0512 0.7485  4 Ti 2.57-2.61, 4 Zn 2.71-2.75
6 Ir 0.5000 0.5000 0.0000  2 Zn 2.60, 6 Ti 2.71-2.73
7 Ir 0.9488 0.9488 0.2515  4 Ti 2.57-2.61, 4 Zn 2.71-2.75

***

A geometry-optimized NaSr3In structure. Source: Alexandria, functional PBE.

calculated formation energy: -0.1747 eV/atom
energy: -1.995 eV per atom
excess energy over the best structure of this formula in the dataset: 0 kJ/mol of formula units

Cell: 11.7447 11.7447 5.9717 Å, 90.00 90.00 150.57°
Last column: nearest neighbours and their distance in Å.
Sites, in units of the cell vectors:
1 Na 0.1600 0.8400 0.7500  8 Sr 3.60-3.64
2 Na 0.8400 0.1600 0.2500  8 Sr 3.60-3.64
3 Sr 0.0698 0.9302 0.2500  2 In 3.58, 2 Na 3.62
4 Sr 0.2510 0.7490 0.2500  4 Na 3.60-3.63, 4 In 3.64-3.67
5 Sr 0.4317 0.5683 0.2500  2 In 3.61, 2 Na 3.64
6 Sr 0.5683 0.4317 0.7500  2 In 3.61, 2 Na 3.64
7 Sr 0.7490 0.2510 0.7500  4 Na 3.60-3.63, 4 In 3.64-3.67
8 Sr 0.9302 0.0698 0.7500  2 In 3.58, 2 Na 3.62
9 In 0.3428 0.6572 0.7500  8 Sr 3.58-3.67
10 In 0.6572 0.3428 0.2500  8 Sr 3.58-3.67

***

A geometry-optimized VZnTc structure. Source: Alexandria, functional PBE.

calculated formation energy: -0.1333 eV/atom
energy: -7.053 eV per atom
excess energy over the best structure of this formula in the dataset: 0 kJ/mol of formula units

Cell: 4.7941 4.7941 4.7941 Å, 141.54 141.54 55.52°
Last column: nearest neighbours and their distance in Å.
Sites, in units of the cell vectors:
1 V 0.0000 0.0000 0.0000  4 Tc 2.54, 5 Zn 2.69-2.74
2 Zn 0.6775 0.6775 0.0000  5 V 2.69-2.74, 5 Tc 2.70-2.72
3 Tc 0.3570 0.3570 0.0000  4 V 2.54, 5 Zn 2.70-2.72

***

> Which of these has the lowest energy?

VZnTc